# Sn2HgAu2

A relaxed structure of Sn2HgAu2 (PBE, Alexandria). Values from VASP.

Properties
As for the formation enthalpy at 0 K: 25 meV/atom. The size of the total moment is 0.00 μB per atom. The volume is 26.53 Å³/atom. The density of states at the Fermi level comes out at 1.9 states/eV/cell. The value obtained for the energy above the lowest structure with this stoichiometry is 1.742 kcal/mol of atoms. The electronic total energy is -2.947 eV/atom. Its space group is No. 139.

Geometry as Quantum ESPRESSO input:
```
&SYSTEM
  ibrav = 0, nat = 5, ntyp = 3
/
ATOMIC_SPECIES
Hg 200.59 Hg.upf
Au 196.97 Au.upf
Sn 118.71 Sn.upf
CELL_PARAMETERS angstrom
5.0715 0.0000 0.0000
0.0000 5.0715 0.0000
2.5357 2.5357 5.1574
ATOMIC_POSITIONS angstrom
Hg 0.0000 0.0000 0.0000
Au 5.0715 5.0715 3.7883
Au 2.5357 2.5357 1.3690
Sn 2.5357 5.0715 2.5787
Sn 5.0715 2.5357 2.5787
```